w) The following is a PBE calculation of a relaxed structure of Hf2PaC3, from Alexandria via LeMat-Bulk.

The structure in extended XYZ format:
```
12
Lattice="1.800 -5.778 0.000 1.800 5.778 0.000 0.000 0.000 8.877" Properties=species:S:1:pos:R:3 pbc="T T T"
Hf 0.000 0.000 0.000
Hf 0.000 0.000 4.439
Hf 1.800 0.913 6.658
Hf 1.800 -0.913 2.219
Pa 1.800 2.205 2.219
Pa 1.800 -2.205 6.658
C 1.800 5.269 6.658
C 1.800 1.547 4.587
C 1.800 1.547 8.729
C 1.800 -1.547 0.148
C 1.800 -1.547 4.290
C 1.800 -5.269 2.219
```

Values from the calculation:
SG = Cmcm (63)
crystal system = orthorhombic

x) The following is a PBE calculation of a relaxed structure of Hf2PaC3, from Alexandria via LeMat-Bulk.

The structure in extended XYZ format:
```
24
Lattice="6.829 0.000 0.000 0.000 4.813 0.000 0.000 0.000 10.248" Properties=species:S:1:pos:R:3 pbc="T T T"
Hf 0.802 1.203 0.863
Hf 0.865 1.203 7.697
Hf 2.549 3.609 2.573
Hf 2.613 3.609 5.987
Hf 4.216 1.203 4.261
Hf 4.279 1.203 7.675
Hf 5.964 3.609 2.551
Hf 6.027 3.609 9.386
Pa 0.867 1.203 4.284
Pa 2.548 3.609 9.408
Pa 4.281 1.203 0.840
Pa 5.962 3.609 5.964
C 0.834 3.609 0.868
C 0.850 3.609 7.702
C 0.928 3.609 4.209
C 2.486 1.203 9.333
C 2.564 1.203 2.578
C 2.581 1.203 5.992
C 4.248 3.609 4.257
C 4.265 3.609 7.670
C 4.343 3.609 0.915
C 5.900 1.203 6.039
C 5.978 1.203 2.546
C 5.995 1.203 9.381
```

Values from the calculation:
SG = Pnma (62)
crystal system = orthorhombic

Order of stability, best first: x), w)

w) The following is a PBE calculation of a relaxed structure of HfPb3C, from Alexandria via LeMat-Bulk.

The structure in extended XYZ format:
```
5
Lattice="5.665 0.000 0.000 0.000 5.665 0.000 0.000 0.000 5.665" Properties=species:S:1:pos:R:3 pbc="T T T"
Hf 0.000 0.000 0.000
Pb 0.000 0.000 2.832
Pb 0.000 2.832 0.000
Pb 2.832 0.000 0.000
C 2.832 2.832 2.832
```

Values from the calculation:
SG = Pm-3m (221)
crystal system = cubic

x) The following is a PBE calculation of a relaxed structure of HfPb3C, from Alexandria via LeMat-Bulk.

The structure in extended XYZ format:
```
5
Lattice="4.954 0.000 0.000 0.000 4.954 0.000 0.000 0.000 4.954" Properties=species:S:1:pos:R:3 pbc="T T T"
Hf 0.000 0.000 0.000
Pb 0.000 2.477 2.477
Pb 2.477 0.000 2.477
Pb 2.477 2.477 0.000
C 2.477 2.477 2.477
```

Values from the calculation:
SG = Pm-3m (221)
crystal system = cubic

Order of stability, best first: x), w)

w) The following is a PBE calculation of a relaxed structure of HfPdC2, from Alexandria via LeMat-Bulk.

The structure in extended XYZ format:
```
4
Lattice="0.000 2.834 2.834 2.834 0.000 2.834 2.834 2.834 0.000" Properties=species:S:1:pos:R:3 pbc="T T T"
Hf 0.000 0.000 0.000
Pd 2.834 2.834 2.834
C 1.417 1.417 1.417
C 4.252 4.252 4.252
```

Values from the calculation:
SG = Fm-3m (225)
crystal system = cubic

x) The following is a PBE calculation of a relaxed structure of HfPdC2, from Alexandria via LeMat-Bulk.

The structure in extended XYZ format:
```
8
Lattice="-2.331 2.331 5.278 2.331 -2.331 5.278 2.331 2.331 -5.278" Properties=species:S:1:pos:R:3 pbc="T T T"
Hf 0.000 0.000 0.000
Hf 0.000 2.331 2.639
Pd 2.331 0.000 2.639
Pd 0.000 0.000 5.278
C 1.165 -1.049 3.959
C 1.282 1.165 1.320
C 1.165 3.380 -1.320
C 1.049 1.165 6.598
```

Values from the calculation:
SG = I-42d (122)
crystal system = tetragonal

Order of stability, best first: x), w)

w) The following is a PBE calculation of a relaxed structure of Hf3PtC, from Alexandria via LeMat-Bulk.

The structure in extended XYZ format:
```
5
Lattice="4.427 0.000 0.000 0.000 4.427 0.000 0.000 0.000 4.427" Properties=species:S:1:pos:R:3 pbc="T T T"
Hf 0.000 0.000 2.214
Hf 0.000 2.214 0.000
Hf 2.214 0.000 0.000
Pt 2.214 2.214 2.214
C 0.000 0.000 0.000
```

Values from the calculation:
SG = Pm-3m (221)
crystal system = cubic

x) The following is a PBE calculation of a relaxed structure of Hf3PtC, from Alexandria via LeMat-Bulk.

The structure in extended XYZ format:
```
20
Lattice="7.176 0.000 0.000 0.000 5.680 0.000 -1.286 0.000 8.476" Properties=species:S:1:pos:R:3 pbc="T T T"
Hf 0.269 0.432 1.510
Hf -0.374 2.408 5.748
Hf 1.447 3.301 0.465
Hf 0.804 5.219 4.702
Hf 1.349 0.704 7.647
Hf 1.992 2.136 3.409
Hf 3.898 3.544 5.067
Hf 4.541 4.976 0.829
Hf 5.086 0.461 3.773
Hf 4.443 2.379 8.011
Hf 6.264 3.272 2.728
Hf 5.621 5.248 6.966
Pt 1.900 3.793 6.915
Pt 2.543 4.727 2.677
Pt 3.347 0.953 5.799
Pt 3.990 1.887 1.561
C -0.058 1.384 3.700
C -0.701 1.456 7.938
C 6.591 4.224 0.538
C 5.948 4.296 4.775
```

Values from the calculation:
SG = P2_1/c (14)
crystal system = monoclinic

Order of stability, best first: x), w)

w) The following is a PBE calculation of a relaxed structure of RbHf3C, from Alexandria via LeMat-Bulk.

The structure in extended XYZ format:
```
5
Lattice="4.729 0.000 0.000 0.000 4.729 0.000 0.000 0.000 4.729" Properties=species:S:1:pos:R:3 pbc="T T T"
Rb 0.000 0.000 0.000
Hf 0.000 2.364 2.364
Hf 2.364 0.000 2.364
Hf 2.364 2.364 0.000
C 2.364 2.364 2.364
```

Values from the calculation:
SG = Pm-3m (221)
crystal system = cubic

x) The following is a PBE calculation of a relaxed structure of RbHf3C, from Alexandria via LeMat-Bulk.

The structure in extended XYZ format:
```
5
Lattice="4.984 0.000 0.000 0.000 4.984 0.000 0.000 0.000 4.984" Properties=species:S:1:pos:R:3 pbc="T T T"
Rb 0.000 0.000 0.000
Hf 0.000 0.000 2.492
Hf 0.000 2.492 0.000
Hf 2.492 0.000 0.000
C 2.492 2.492 2.492
```

Values from the calculation:
SG = Pm-3m (221)
crystal system = cubic

Order of stability, best first: w), x)

w) The following is a PBE calculation of a relaxed structure of HfRe3C, from Alexandria via LeMat-Bulk.

The structure in extended XYZ format:
```
5
Lattice="4.784 0.000 0.000 0.000 4.784 0.000 0.000 0.000 4.784" Properties=species:S:1:pos:R:3 pbc="T T T"
Hf 0.000 0.000 0.000
Re 0.000 0.000 2.392
Re 0.000 2.392 0.000
Re 2.392 0.000 0.000
C 2.392 2.392 2.392
```

Values from the calculation:
SG = Pm-3m (221)
crystal system = cubic

x) The following is a PBE calculation of a relaxed structure of HfRe3C, from Alexandria via LeMat-Bulk.

The structure in extended XYZ format:
```
5
Lattice="4.160 0.000 0.000 0.000 4.160 0.000 0.000 0.000 4.160" Properties=species:S:1:pos:R:3 pbc="T T T"
Hf 0.000 0.000 0.000
Re 0.000 2.080 2.080
Re 2.080 0.000 2.080
Re 2.080 2.080 0.000
C 2.080 2.080 2.080
```

Values from the calculation:
SG = Pm-3m (221)
crystal system = cubic

Order of stability, best first: x), w)

w) The following is a PBE calculation of a relaxed structure of Hf3ReC, from Alexandria via LeMat-Bulk.

The structure in extended XYZ format:
```
5
Lattice="4.999 0.000 0.000 0.000 4.999 0.000 0.000 0.000 4.999" Properties=species:S:1:pos:R:3 pbc="T T T"
Hf 0.000 0.000 2.500
Hf 0.000 2.500 0.000
Hf 2.500 0.000 0.000
Re 0.000 0.000 0.000
C 2.500 2.500 2.500
```

Values from the calculation:
SG = Pm-3m (221)
crystal system = cubic

x) The following is a PBE calculation of a relaxed structure of Hf3ReC, from Alexandria via LeMat-Bulk.

The structure in extended XYZ format:
```
5
Lattice="4.430 0.000 0.000 0.000 4.430 0.000 0.000 0.000 4.430" Properties=species:S:1:pos:R:3 pbc="T T T"
Hf 0.000 0.000 2.215
Hf 0.000 2.215 0.000
Hf 2.215 0.000 0.000
Re 2.215 2.215 2.215
C 0.000 0.000 0.000
```

Values from the calculation:
SG = Pm-3m (221)
crystal system = cubic

Order of stability, best first: x), w)

w) The following is a PBE calculation of a relaxed structure of HfReC3, from Alexandria via LeMat-Bulk.

The structure in extended XYZ format:
```
5
Lattice="3.956 0.000 0.000 0.000 3.956 0.000 0.000 0.000 3.956" Properties=species:S:1:pos:R:3 pbc="T T T"
Hf 0.000 0.000 0.000
Re 1.978 1.978 1.978
C 0.000 1.978 1.978
C 1.978 0.000 1.978
C 1.978 1.978 0.000
```

Values from the calculation:
SG = Pm-3m (221)
crystal system = cubic

x) The following is a PBE calculation of a relaxed structure of HfReC3, from Alexandria via LeMat-Bulk.

The structure in extended XYZ format:
```
5
Lattice="4.104 0.000 0.000 0.000 4.104 0.000 0.000 0.000 4.104" Properties=species:S:1:pos:R:3 pbc="T T T"
Hf 0.000 0.000 0.000
Re 2.052 2.052 2.052
C 0.000 0.000 2.052
C 0.000 2.052 0.000
C 2.052 0.000 0.000
```

Values from the calculation:
SG = Pm-3m (221)
crystal system = cubic

Order of stability, best first: w), x)

w) The following is a PBE calculation of a relaxed structure of Hf3CS, from Alexandria via LeMat-Bulk.

The structure in extended XYZ format:
```
10
Lattice="3.203 0.000 0.000 0.000 5.927 0.000 0.000 0.000 8.876" Properties=species:S:1:pos:R:3 pbc="T T T"
Hf 0.801 0.028 1.852
Hf 0.801 1.482 4.566
Hf 0.801 2.936 1.852
Hf 2.402 2.991 7.024
Hf 2.402 4.445 4.310
Hf 2.402 5.899 7.024
C 0.801 4.445 6.137
C 2.402 1.482 2.739
S 0.801 1.482 8.509
S 2.402 4.445 0.367
```

Values from the calculation:
SG = Pmmn (59)
crystal system = orthorhombic

x) The following is a PBE calculation of a relaxed structure of Hf3CS, from Alexandria via LeMat-Bulk.

The structure in extended XYZ format:
```
10
Lattice="5.816 0.000 0.000 0.000 3.323 0.000 -2.508 0.000 9.512" Properties=species:S:1:pos:R:3 pbc="T T T"
Hf -0.046 0.831 1.331
Hf -0.013 0.831 5.156
Hf 0.320 2.493 8.270
Hf 2.988 0.831 1.242
Hf 3.321 2.493 4.356
Hf 3.354 2.493 8.181
C -1.121 0.831 9.023
C 4.429 2.493 0.489
S 1.606 0.831 3.267
S 1.702 2.493 6.245
```

Values from the calculation:
SG = P2_1/m (11)
crystal system = monoclinic

Order of stability, best first: w), x)

w) The following is a PBE calculation of a relaxed structure of Hf4CS, from Alexandria via LeMat-Bulk.

The structure in extended XYZ format:
```
12
Lattice="-3.976 3.976 3.499 3.976 -3.976 3.499 3.976 3.976 -3.499" Properties=species:S:1:pos:R:3 pbc="T T T"
Hf 3.976 1.545 -0.347
Hf 2.431 3.976 -2.096
Hf 1.545 0.000 1.403
Hf 0.000 2.297 0.000
Hf 0.000 5.655 0.000
Hf 2.297 3.976 1.749
Hf 1.679 0.000 5.248
Hf 0.000 2.431 3.152
C 0.000 3.976 1.515
C 0.000 0.000 6.763
S 3.976 0.000 1.645
S 0.000 0.000 3.394
```

Values from the calculation:
SG = I4_1md (109)
crystal system = tetragonal

x) The following is a PBE calculation of a relaxed structure of Hf4CS, from Alexandria via LeMat-Bulk.

The structure in extended XYZ format:
```
6
Lattice="5.441 -1.680 0.000 5.441 1.680 0.000 -1.069 0.000 5.933" Properties=species:S:1:pos:R:3 pbc="T T T"
Hf 0.909 0.000 2.336
Hf 3.842 0.000 0.992
Hf 5.970 0.000 4.941
Hf 8.903 0.000 3.597
C 4.906 0.000 2.966
S 0.000 0.000 0.000
```

Values from the calculation:
SG = C2/m (12)
crystal system = monoclinic

Order of stability, best first: w), x)

w) The following is a PBE calculation of a relaxed structure of HfSb3C, from Alexandria via LeMat-Bulk.

The structure in extended XYZ format:
```
5
Lattice="5.472 0.000 0.000 0.000 5.472 0.000 0.000 0.000 5.472" Properties=species:S:1:pos:R:3 pbc="T T T"
Hf 0.000 0.000 0.000
Sb 0.000 0.000 2.736
Sb 0.000 2.736 0.000
Sb 2.736 0.000 0.000
C 2.736 2.736 2.736
```

Values from the calculation:
SG = Pm-3m (221)
crystal system = cubic

x) The following is a PBE calculation of a relaxed structure of HfSb3C, from Alexandria via LeMat-Bulk.

The structure in extended XYZ format:
```
5
Lattice="4.729 0.000 0.000 0.000 4.729 0.000 0.000 0.000 4.729" Properties=species:S:1:pos:R:3 pbc="T T T"
Hf 0.000 0.000 0.000
Sb 0.000 2.365 2.365
Sb 2.365 0.000 2.365
Sb 2.365 2.365 0.000
C 2.365 2.365 2.365
```

Values from the calculation:
SG = Pm-3m (221)
crystal system = cubic

Order of stability, best first: x), w)

w) The following is a PBE calculation of a relaxed structure of HfSbC3, from Alexandria via LeMat-Bulk.

The structure in extended XYZ format:
```
5
Lattice="4.317 0.000 0.000 0.000 4.317 0.000 0.000 0.000 4.317" Properties=species:S:1:pos:R:3 pbc="T T T"
Hf 0.000 0.000 0.000
Sb 2.159 2.159 2.159
C 0.000 0.000 2.159
C 0.000 2.159 0.000
C 2.159 0.000 0.000
```

Values from the calculation:
SG = Pm-3m (221)
crystal system = cubic

x) The following is a PBE calculation of a relaxed structure of HfSbC3, from Alexandria via LeMat-Bulk.

The structure in extended XYZ format:
```
5
Lattice="4.137 0.000 0.000 0.000 4.137 0.000 0.000 0.000 4.137" Properties=species:S:1:pos:R:3 pbc="T T T"
Hf 0.000 0.000 0.000
Sb 2.069 2.069 2.069
C 0.000 2.069 2.069
C 2.069 0.000 2.069
C 2.069 2.069 0.000
```

Values from the calculation:
SG = Pm-3m (221)
crystal system = cubic

Order of stability, best first: w), x)